(1)
The following is a DFT calculation (PBE) of a relaxed structure of Be3AsOs.

The structure in POSCAR format:
```
Be3AsOs
1.0
-3.9586 0.4489 -1.4383
0.2253 -3.8215 -1.8127
-1.4898 -1.7706 3.5477
Os Be As
1 3 1
Cartesian
0.0000 0.0000 0.0000 Os
-1.9793 0.2244 -0.7191 Be
-0.7449 -0.8853 1.7739 Be
0.1126 -1.9108 -0.9063 Be
-2.6115 -2.5716 0.1484 As
```

Results
Mass density = 6.38 Mg/m³
Energy of formation from the pure elements = 0.816 eV per atom

(2)
The following is a DFT calculation (PBE) of a relaxed structure of BeAs2Os.

The structure in POSCAR format:
```
BeAs2Os
1.0
3.2266 0.0000 0.0000
0.0000 4.4247 0.0000
0.0000 0.0000 4.1200
As Be Os
2 1 1
Cartesian
0.0000 0.0000 0.0000 As
1.6133 2.2124 0.0000 As
1.6133 0.0000 2.0600 Be
0.0000 2.2124 2.0600 Os
```

Results
Mass density = 9.85 Mg/m³
Energy of formation from the pure elements = 0.627 eV per atom

(3)
The following is a DFT calculation (PBE) of a relaxed structure of Be2AsOs.

The structure in POSCAR format:
```
Be2AsOs
1.0
3.9233 0.0454 0.0000
-0.6116 3.8756 0.0000
0.0000 0.0000 3.0601
As Be Os
1 2 1
Cartesian
-0.3058 1.9378 1.5301 As
0.0000 0.0000 0.0000 Be
1.6559 1.9605 0.0000 Be
1.9616 0.0227 1.5301 Os
```

Results
Mass density = 10.09 Mg/m³
Energy of formation from the pure elements = 0.160 eV per atom

(4)
The following is a DFT calculation (PBE) of a relaxed structure of Be2AsOs.

The structure in POSCAR format:
```
Be2AsOs
1.0
-1.1280 -2.3320 1.6158
0.2352 -1.8097 -2.4476
4.6741 -1.2892 1.4024
As Os Be
1 1 2
Cartesian
3.1616 -3.0660 0.6666 As
2.2206 -0.6125 0.6662 Os
0.6544 -2.3745 -0.0856 Be
0.0819 -0.0226 0.0246 Be
```

Results
Mass density = 9.99 Mg/m³
Energy of formation from the pure elements = 0.136 eV per atom

(5)
The following is a DFT calculation (PBE) of a relaxed structure of BeAs2Os.

The structure in POSCAR format:
```
BeAs2Os
1.0
5.3186 0.0000 0.0000
0.0000 5.3186 0.0000
2.6593 2.6593 5.5230
Be Os As
2 2 4
Cartesian
2.6593 5.3186 2.7615 Be
2.6593 2.6593 0.0000 Be
0.0000 0.0000 0.0000 Os
5.3186 2.6593 2.7615 Os
6.6482 6.5583 4.1422 As
1.4196 3.9889 1.3807 As
3.9889 4.0789 4.1422 As
3.8990 1.3296 1.3807 As
```

Results
Mass density = 7.42 Mg/m³
Energy of formation from the pure elements = 0.310 eV per atom

(6)
The following is a DFT calculation (PBE) of a relaxed structure of BeAs2Os.

The structure in POSCAR format:
```
BeAs2Os
1.0
3.0000 0.0196 0.0000
-1.4434 2.6300 0.0000
0.0000 0.0000 7.6234
As Be Os
2 1 1
Cartesian
0.0000 0.0000 3.6982 As
0.0000 0.0000 0.1135 As
0.7783 1.3248 1.9059 Be
0.7783 1.3248 5.7176 Os
```

Results
Mass density = 9.60 Mg/m³
Energy of formation from the pure elements = 0.613 eV per atom

Question: Look up the energy of formation from the pure elements of the fourth one.
Answer: 0.136 eV per atom

Question: What is the mass density in the fourth record?
Answer: 9.99 Mg/m³